(1)
A plane-wave DFT calculation with GGA-PBE was carried out for a relaxed structure of PmZr3N.

Computed properties:
Fermi-level density of states: 5.3 states/eV/cell
uncorrected formation energy: -0.513 eV/atom

POSCAR file:
```
PmZr3N
1.0
4.674 0.000 0.000
0.000 4.674 0.000
0.000 0.000 4.674
Pm Zr N
1 3 1
Cartesian
0.000 0.000 0.000
0.000 2.337 2.337
2.337 0.000 2.337
2.337 2.337 0.000
2.337 2.337 2.337
```



(2)
A plane-wave DFT calculation with GGA-PBE was carried out for a relaxed structure of Pm4ZrN5.

Computed properties:
Fermi-level density of states: 1.8 states/eV/cell
uncorrected formation energy: -1.494 eV/atom

POSCAR file:
```
Pm4ZrN5
1.0
-3.943 3.943 2.532
3.943 -3.943 2.532
3.943 3.943 -2.532
Pm Zr N
4 1 5
Cartesian
2.363 0.808 0.000
3.135 -1.580 2.532
0.808 5.523 0.000
1.580 3.135 2.532
0.000 0.000 2.682
4.682 1.734 0.007
1.734 3.203 0.007
2.209 0.740 2.539
-0.740 2.209 2.539
0.000 0.000 4.840
```



(3)
A plane-wave DFT calculation with GGA-PBE was carried out for a relaxed structure of PmZrN.

Computed properties:
Fermi-level density of states: 1.7 states/eV/cell
excess energy over the best structure of this formula in the dataset: 18 meV per atom
uncorrected formation energy: -0.941 eV/atom

POSCAR file:
```
PmZrN
1.0
3.420 0.000 0.000
-1.710 2.962 0.000
0.000 0.000 5.858
Pm Zr N
1 1 1
Cartesian
0.000 0.000 0.000
0.000 1.975 2.656
1.710 0.987 1.553
```



(4)
A plane-wave DFT calculation with GGA-PBE was carried out for a relaxed structure of PmZr5N6.

Computed properties:
Fermi-level density of states: 4.6 states/eV/cell
uncorrected formation energy: -1.620 eV/atom

POSCAR file:
```
PmZr5N6
1.0
2.869 -4.972 0.000
2.869 4.972 0.000
-1.902 0.000 5.428
Pm Zr N
1 5 6
Cartesian
0.000 0.000 0.000
1.918 3.315 2.714
2.869 1.659 0.000
1.918 0.000 2.714
2.869 -1.659 0.000
1.918 -3.315 2.714
0.997 1.722 1.420
0.089 0.000 4.030
0.997 -1.722 1.420
2.839 1.722 4.008
3.747 0.000 1.398
2.839 -1.722 4.008
```



(5)
A plane-wave DFT calculation with GGA-PBE was carried out for a relaxed structure of PrN.

Computed properties:
uncorrected formation energy: -1.018 eV/atom

POSCAR file:
```
PrN
1.0
4.459 0.000 0.000
0.000 4.459 0.000
0.000 0.000 3.724
Pr N
2 2
Cartesian
1.115 1.115 0.918
3.344 3.344 2.806
1.115 3.344 1.862
3.344 1.115 1.862
```



(6)
A plane-wave DFT calculation with GGA-PBE was carried out for a relaxed structure of Pr6N5.

Computed properties:
Fermi-level density of states: 3.3 states/eV/cell
uncorrected formation energy: -1.192 eV/atom

POSCAR file:
```
Pr6N5
1.0
3.216 -5.557 0.000
3.216 5.557 0.000
-2.183 0.000 6.032
Pr N
6 5
Cartesian
-0.091 1.961 4.498
0.922 0.000 1.600
-0.091 -1.961 4.498
4.340 1.961 1.534
3.328 0.000 4.432
4.340 -1.961 1.534
-1.091 0.000 3.016
3.216 3.717 0.000
2.125 1.916 3.016
2.125 -1.916 3.016
3.216 -3.717 0.000
```



Q: uncorrected formation energy of number 3 (PmZrN)?
A: -0.941 eV/atom